TbSc2Au | PBE | relaxed

space-group type: P4/mmm, No. 123
E_form: -28.5 kJ per mole of atoms
density: 8.03 g/cm3

POSCAR file:
```
TbSc2Au
1.0
4.458 0.000 0.000
0.000 4.458 0.000
0.000 0.000 4.638
Tb Sc Au
1 2 1
Cartesian
0.000 0.000 0.000
0.000 2.229 2.319
2.229 0.000 2.319
2.229 2.229 0.000
```